Density functional theory data (PBE+U) for GaCoNO after structural relaxation.

abc: 5.435 7.309 5.177
angles: 90.00 90.00 90.00
Positions (direct):
Ga  0.066  0.127  0.000
Ga  0.434  0.127  0.500
Ga  0.566  0.873  0.000
Ga  0.934  0.873  0.500
Co  0.146  0.554  0.899
Co  0.354  0.554  0.399
Co  0.646  0.446  0.899
Co  0.854  0.446  0.399
N  0.049  0.639  0.557
N  0.451  0.639  0.057
N  0.549  0.361  0.557
N  0.951  0.361  0.057
O  0.125  0.065  0.648
O  0.375  0.065  0.148
O  0.625  0.935  0.648
O  0.875  0.935  0.148

The volume is 206 Å³ per cell. The value obtained for the energy relative to the lowest polymorph listed for this composition is 126 meV/atom. The calculation puts the uncorrected energy at -5.922 eV per atom. As for the symmetry: Pca2_1.